VASP calculation (PBE) on an optimized crystal structure of SrCaSmY.

abc: 6.0126 6.0126 6.0126
angles: 60.00 60.00 60.00
Positions (direct):
1 Sm 0.5000 0.5000 0.5000
2 Ca 0.2500 0.2500 0.2500
3 Sr 0.0000 0.0000 0.0000
4 Y 0.7500 0.7500 0.7500

The value obtained for the magnetic moment is 0.0 μB/f.u. Its energy of formation from the pure elements is 0.74 eV/f.u. The space group is F-43m (216).